1.
Sr8Al, optimized geometry, DFT PBEsol; DFT formation energy = 45 meV/atom; mass density = 2.8 Mg/m³; volume = 47.41 Å³/atom
1.0
5.721 0.000 0.000
2.861 8.636 0.000
2.861 0.000 8.636
Sr Al
8 1
direct
0.346 0.000 0.308
0.654 0.000 0.692
0.680 0.320 0.320
0.346 0.308 0.000
0.000 0.320 0.680
0.654 0.692 0.000
0.320 0.680 0.680
0.000 0.680 0.320
0.000 0.000 0.000

---

2.
SrAl, optimized geometry, DFT PBEsol; DFT formation energy = -166 meV/atom; mass density = 2.7 Mg/m³; volume = 35.68 Å³/atom
1.0
-0.260 -4.289 -1.224
3.615 -2.615 0.241
-0.904 -4.385 7.401
Sr Al
2 2
direct
0.591 0.591 0.227
0.409 0.409 0.773
0.167 0.167 0.498
0.833 0.833 0.502

---

3.
SrAl, optimized geometry, DFT PBEsol; DFT formation energy = -115 meV/atom; mass density = 3.3 Mg/m³; volume = 29.05 Å³/atom
1.0
-2.897 0.772 2.367
-2.182 -4.908 -1.069
5.404 -0.125 3.574
Sr Al
2 2
direct
0.400 0.650 0.800
0.600 0.350 0.200
0.166 0.916 0.332
0.834 0.084 0.668

---

4.
SrAl, optimized geometry, DFT PBEsol; DFT formation energy = -99 meV/atom; mass density = 3.0 Mg/m³; volume = 31.56 Å³/atom
1.0
4.330 0.000 0.000
0.000 6.873 0.000
-2.165 -3.436 6.364
Sr Al
3 3
direct
0.794 0.096 0.588
0.500 0.037 0.000
0.206 0.508 0.412
0.500 0.547 0.000
0.102 0.840 0.205
0.898 0.635 0.795

---

Magnetic moment values, unit μB per formula unit, following the record order: 0.0 0.0 0.0 0.0.